DFT (GGA-PBE) results for a geometry-optimized Er3TmPu structure.

## Properties
As for the volume: 29.56 A^3/atom. For the energy relative to the lowest polymorph listed for this composition, the calculation gives 0 meV/atom. The value obtained for the formation energy from the elements is 2.18 kcal/mol of atoms. Its total moment is 22.6 μB per cell.

Lattice parameters (Å, degrees): 5.962 6.399 16.773 112.48 90.00 90.00
Element x y z (fractional)
Er (0.072, 0.534, 0.410)
Pu (0.750, 0.944, 0.500)
Er (0.029, 0.342, 0.193)
Pu (0.750, 0.944, 0.000)
Tm (0.072, 0.713, 0.090)
Er (0.471, 0.956, 0.807)
Tm (0.928, 0.287, 0.910)
Er (0.971, 0.044, 0.693)
Tm (0.428, 0.713, 0.590)
Er (0.971, 0.658, 0.807)
Pu (0.250, 0.056, 0.500)
Er (0.471, 0.342, 0.693)
Er (0.529, 0.658, 0.307)
Er (0.928, 0.466, 0.590)
Pu (0.250, 0.056, 0.000)
Er (0.029, 0.956, 0.307)
Er (0.572, 0.466, 0.090)
Er (0.529, 0.044, 0.193)
Tm (0.572, 0.287, 0.410)
Er (0.428, 0.534, 0.910)


DFT (GGA-PBE) results for a geometry-optimized NaSrS2N structure.

## Properties
As for the volume: 23.29 A^3/atom. For the energy relative to the lowest polymorph listed for this composition, the calculation gives 0 meV/atom. The value obtained for the uncorrected formation energy is 189 meV/atom. Its total moment is 3.9 μB per cell.

Lattice parameters (Å, degrees): 5.108 5.108 4.464 90.00 90.00 90.00
Element x y z (fractional)
Na (0.000, 0.000, 0.000)
S (0.500, 0.000, 0.000)
N (0.000, 0.000, 0.500)
S (0.000, 0.500, 0.000)
Sr (0.500, 0.500, 0.500)


DFT (GGA-PBE) results for a geometry-optimized TbPmNd6Sc2 structure.

## Properties
As for the volume: 32.84 A^3/atom. The value obtained for the formation energy from the elements is 2.81 kcal/mol of atoms. Its total moment is 0.0 μB per cell.

Lattice parameters (Å, degrees): 9.666 8.802 8.802 117.40 94.62 94.62
Element x y z (fractional)
Sc (0.451, 0.805, 0.710)
Nd (0.446, 0.239, 0.894)
Nd (0.946, 0.894, 0.239)
Nd (0.620, 0.496, 0.699)
Sc (0.951, 0.710, 0.805)
Sc (0.549, 0.195, 0.290)
Nd (0.880, 0.301, 0.504)
Nd (0.819, 0.438, 0.985)
Pm (0.250, 0.405, 0.595)
Nd (0.181, 0.562, 0.015)
Nd (0.054, 0.106, 0.761)
Nd (0.120, 0.699, 0.496)
Pm (0.750, 0.595, 0.405)
Sc (0.049, 0.290, 0.195)
Nd (0.554, 0.761, 0.106)
Tb (0.250, 0.970, 0.030)
Tb (0.750, 0.030, 0.970)
Nd (0.319, 0.985, 0.438)
Nd (0.380, 0.504, 0.301)
Nd (0.681, 0.015, 0.562)


DFT (GGA-PBE) results for a geometry-optimized MnCuGe2S6 structure.

## Properties
As for the volume: 19.95 A^3/atom. The value obtained for the uncorrected formation energy is -266 meV/atom. Its total moment is 8.0 μB per cell.

Lattice parameters (Å, degrees): 6.198 8.172 8.172 84.92 79.28 79.28
Element x y z (fractional)
Mn (0.750, 0.108, 0.892)
S (0.875, 0.030, 0.185)
Ge (0.709, 0.608, 0.782)
Ge (0.291, 0.392, 0.218)
S (0.399, 0.544, 0.712)
S (0.625, 0.815, 0.970)
Mn (0.250, 0.892, 0.108)
S (0.394, 0.880, 0.368)
S (0.601, 0.456, 0.288)
S (0.101, 0.288, 0.456)
Cu (0.750, 0.747, 0.253)
S (0.375, 0.185, 0.030)
S (0.106, 0.632, 0.120)
Ge (0.209, 0.782, 0.608)
S (0.606, 0.120, 0.632)
Cu (0.250, 0.253, 0.747)
S (0.894, 0.368, 0.880)
Ge (0.791, 0.218, 0.392)
S (0.899, 0.712, 0.544)
S (0.125, 0.970, 0.815)


DFT (GGA-PBE) results for a geometry-optimized TlRh2Se structure.

## Properties
As for the volume: 17.78 A^3/atom. The value obtained for the uncorrected formation energy is 63 meV/atom. Its total moment is 0.0 μB per cell.

Lattice parameters (Å, degrees): 8.157 8.157 8.157 22.74 22.74 22.74
Element x y z (fractional)
Tl (0.750, 0.750, 0.750)
Rh (0.508, 0.508, 0.508)
Rh (0.992, 0.992, 0.992)
Se (0.250, 0.250, 0.250)


DFT (GGA-PBE) results for a geometry-optimized Pu2Hg5O12 structure.

## Properties
As for the volume: 19.62 A^3/atom. The value obtained for the uncorrected formation energy is -1161 meV/atom. Its total moment is 2.0 μB per cell.

Lattice parameters (Å, degrees): 6.918 7.010 9.293 112.72 92.09 113.14
Element x y z (fractional)
Hg (0.362, 0.799, 0.305)
O (0.005, 0.689, 0.425)
O (0.703, 0.872, 0.144)
O (0.513, 0.755, 0.478)
Hg (0.000, 0.000, 0.500)
O (0.616, 0.195, 0.118)
Hg (0.737, 0.467, 0.465)
Pu (0.250, 0.998, 0.997)
Pu (0.750, 0.002, 0.003)
O (0.995, 0.311, 0.575)
O (0.797, 0.143, 0.859)
O (0.874, 0.804, 0.883)
O (0.203, 0.857, 0.141)
O (0.297, 0.128, 0.856)
O (0.487, 0.245, 0.522)
O (0.126, 0.196, 0.117)
O (0.384, 0.805, 0.882)
Hg (0.638, 0.201, 0.695)
Hg (0.263, 0.533, 0.535)


DFT (GGA-PBE) results for a geometry-optimized PmGaSi4 structure.

## Properties
As for the volume: 17.57 A^3/atom. The value obtained for the uncorrected formation energy is -127 meV/atom. Its total moment is 0.0 μB per cell.

Lattice parameters (Å, degrees): 5.303 5.303 5.303 60.00 60.00 60.00
Element x y z (fractional)
Pm (0.250, 0.250, 0.250)
Ga (0.000, 0.000, 0.000)
Si (0.627, 0.627, 0.120)
Si (0.627, 0.120, 0.627)
Si (0.120, 0.627, 0.627)
Si (0.627, 0.627, 0.627)


DFT (GGA-PBE) results for a geometry-optimized La2Nd3Sm8 structure.

## Properties
As for the volume: 36.04 A^3/atom. For the energy relative to the lowest polymorph listed for this composition, the calculation gives 72 meV/atom. The value obtained for the formation energy from the elements is 5.17 kcal/mol of atoms. Its total moment is 0.0 μB per cell.

Lattice parameters (Å, degrees): 5.737 7.750 11.228 110.17 90.06 90.00
Element x y z (fractional)
Nd (0.000, 0.291, 0.000)
Sm (0.500, 0.185, 0.789)
Sm (0.002, 0.665, 0.330)
Sm (0.500, 0.815, 0.211)
La (0.503, 0.757, 0.515)
Nd (0.000, 0.709, 0.000)
La (0.497, 0.243, 0.485)
Sm (0.500, 0.396, 0.210)
Sm (0.998, 0.335, 0.670)
Sm (0.999, 0.131, 0.261)
Sm (0.500, 0.604, 0.790)
Nd (0.500, 0.000, 0.000)
Sm (0.001, 0.869, 0.739)


DFT (GGA-PBE) results for a geometry-optimized Ag2PtF structure.

## Properties
As for the volume: 15.86 A^3/atom. For the energy relative to the lowest polymorph listed for this composition, the calculation gives 0 meV/atom. The value obtained for the uncorrected formation energy is -338 meV/atom. Its total moment is 0.0 μB per cell.

Lattice parameters (Å, degrees): 2.832 2.832 9.280 81.22 81.22 60.00
Element x y z (fractional)
Ag (0.901, 0.901, 0.296)
Pt (0.000, 0.000, 0.000)
F (0.500, 0.500, 0.500)
Ag (0.099, 0.099, 0.704)


DFT (GGA-PBE) results for a geometry-optimized Sm3Al2Ga2 structure.

## Properties
As for the volume: 24.75 A^3/atom. The value obtained for the formation energy from the elements is -12.33 kcal/mol of atoms. Its total moment is 0.5 μB per cell.

Lattice parameters (Å, degrees): 4.218 4.350 9.915 102.67 102.28 90.00
Element x y z (fractional)
Sm (0.000, 0.000, 0.000)
Sm (0.314, 0.814, 0.627)
Ga (0.144, 0.644, 0.287)
Sm (0.686, 0.186, 0.373)
Al (0.567, 0.567, 0.134)
Ga (0.856, 0.356, 0.713)
Al (0.433, 0.433, 0.866)


DFT (GGA-PBE) results for a geometry-optimized KLaZrTl2 structure.

## Properties
As for the volume: 37.27 A^3/atom. For the energy relative to the lowest polymorph listed for this composition, the calculation gives 0 meV/atom. The value obtained for the formation energy from the elements is 4.73 kcal/mol of atoms. Its total moment is 0.0 μB per cell.

Lattice parameters (Å, degrees): 5.820 5.500 5.820 90.00 90.00 90.00
Element x y z (fractional)
La (0.000, 0.500, 0.000)
Tl (0.000, 0.000, 0.500)
Zr (0.000, 0.000, 0.000)
Tl (0.500, 0.000, 0.000)
K (0.500, 0.500, 0.500)


DFT (GGA-PBE) results for a geometry-optimized TaAg3 structure.

## Properties
As for the volume: 18.10 A^3/atom. The value obtained for the formation energy from the elements is 10.36 kcal/mol of atoms. Its total moment is 0.0 μB per cell.

Lattice parameters (Å, degrees): 5.603 5.603 5.603 117.40 117.40 117.40
Element x y z (fractional)
Ag (0.000, 0.500, 0.500)
Ta (0.500, 0.000, 0.500)
Ag (0.500, 0.500, 0.000)
Ag (0.000, 0.000, 0.000)


total moment of number 2 (NaSrS2N)? 3.9 μB per cell